{
  "formula": "NdEr2Au",
  "functional": "PBE-GGA",
  "state": "optimized geometry",
  "lattice_angstrom": [[1.877, 1.084, 9.807], [-1.877, 1.084, 9.807], [0.000, -2.168, 9.807]],
  "species": ["Nd", "Er", "Er", "Au"],
  "fractional_positions": [[0.000, 0.000, 0.000], [0.566, 0.566, 0.566], [0.765, 0.765, 0.765], [0.164, 0.164, 0.164]],
  "formation_energy_ev_per_atom": -0.302,
  "volume_a3_per_fu": 120
}

***

{
  "formula": "Ba2OF",
  "functional": "PBE-GGA",
  "state": "optimized geometry",
  "lattice_angstrom": [[-3.148, 3.148, 6.078], [3.148, -3.148, 6.078], [3.148, 3.148, -6.078]],
  "species": ["Ba", "Ba", "Ba", "Ba", "O", "O", "F", "F"],
  "fractional_positions": [[0.098, 0.625, 0.973], [0.375, 0.348, 0.473], [0.652, 0.125, 0.027], [0.875, 0.902, 0.527], [0.000, 0.000, 0.000], [0.750, 0.250, 0.500], [0.250, 0.750, 0.500], [0.500, 0.500, 0.000]],
  "volume_a3_per_fu": 120,
  "e_form_raw_ev_per_atom": -2.4971
}

***

Please write out number 1 again, unchanged.
{
  "formula": "NdEr2Au",
  "functional": "PBE-GGA",
  "state": "optimized geometry",
  "lattice_angstrom": [[1.877, 1.084, 9.807], [-1.877, 1.084, 9.807], [0.000, -2.168, 9.807]],
  "species": ["Nd", "Er", "Er", "Au"],
  "fractional_positions": [[0.000, 0.000, 0.000], [0.566, 0.566, 0.566], [0.765, 0.765, 0.765], [0.164, 0.164, 0.164]],
  "formation_energy_ev_per_atom": -0.302,
  "volume_a3_per_fu": 120
}